Density functional theory data (GGA-PBE) for a relaxed Al5Ga4 crystal.

## Properties
E above lowest polymorph, meV per atom: 0
SG: C2/m
Total magnetization, μB per atom: 0.000

a = 2.7915 Å, b = 8.2017 Å, c = 8.2017 Å
α = 61.23°, β = 76.58°, γ = 76.58°
Closest atoms and distances in Å follow each position.
Positions (direct):
Al 0.0000 0.6667 0.3333  4 Al 2.79, 8 Ga 2.90-3.02
Al 0.7261 0.0063 0.6730  6 Al 2.79-2.95, 4 Ga 2.79-2.88
Al 0.0000 0.0009 0.9991  8 Al 2.77-2.95, 4 Ga 2.91-3.03
Ga 0.2316 0.6631 0.6618  4 Ga 2.77-2.83, 6 Al 2.79-3.03
Ga 0.7684 0.3382 0.3369  4 Ga 2.77-2.83, 6 Al 2.79-3.03
Al 0.0000 0.3324 0.6676  8 Al 2.77-2.95, 4 Ga 2.91-3.03
Ga 0.7684 0.6703 0.0049  4 Ga 2.77-2.83, 6 Al 2.79-3.03
Al 0.2739 0.3270 0.9937  6 Al 2.79-2.95, 4 Ga 2.79-2.88
Ga 0.2316 0.9951 0.3297  4 Ga 2.77-2.83, 6 Al 2.79-3.03